(1)
Below is an optimized crystal structure of RhPbAu2, with properties calculated at the PBE-GGA level.

a = 3.3788 Å, b = 3.8997 Å, c = 5.9153 Å
α = 90.00°, β = 90.00°, γ = 90.00°
Fractional positions:
Rh 0.0000 0.0000 0.0000
Pb 0.0000 0.0000 0.5000
Au 0.5000 0.5000 0.2303
Au 0.5000 0.5000 0.7697

Calculated values
The formation energy comes out at 0.1700 eV per atom. The space group is Pmmm, No. 47. Its total magnetic moment is 0.00 μB per cell. Its density of states at the Fermi level is 3.9 states/eV/f.u.

(2)
Below is an optimized crystal structure of RhPb3Au, with properties calculated at the PBE-GGA level.

a = 5.2655 Å, b = 5.2655 Å, c = 5.2655 Å
α = 90.00°, β = 90.00°, γ = 90.00°
Fractional positions:
Rh 0.0000 0.0000 0.0000
Pb 0.0000 0.0000 0.5000
Pb 0.0000 0.5000 0.0000
Pb 0.5000 0.0000 0.0000
Au 0.5000 0.5000 0.5000

Calculated values
The formation energy comes out at 0.1929 eV per atom. The space group is Pm-3m, No. 221. Its total magnetic moment is 0.00 μB per cell. Its density of states at the Fermi level is 7.5 states/eV/f.u.

(3)
Below is an optimized crystal structure of RhPb4Au, with properties calculated at the PBE-GGA level.

a = 6.1935 Å, b = 6.1935 Å, c = 6.1935 Å
α = 60.00°, β = 60.00°, γ = 60.00°
Fractional positions:
Rh 0.0000 0.0000 0.0000
Pb 0.3744 0.3744 0.3744
Pb 0.3744 0.3744 0.8767
Pb 0.3744 0.8767 0.3744
Pb 0.8767 0.3744 0.3744
Au 0.7500 0.7500 0.7500

Calculated values
The formation energy comes out at 0.6598 eV per atom. The space group is F-43m, No. 216. Its total magnetic moment is 0.00 μB per cell. Its density of states at the Fermi level is 2.5 states/eV/f.u.